No. 1
A plane-wave DFT calculation with GGA-PBE was carried out for an optimized crystal structure of Ni2GePt.

Cell lengths 3.698, 3.738, 3.738 Å; angles 90.00, 90.00, 90.00 degrees
Element x y z (fractional)
Ni1 0.000 0.000 0.500
Ni2 0.000 0.500 0.000
Ge1 0.500 0.000 0.000
Pt1 0.500 0.500 0.500

Calculated values
* energy: -5.865 eV/atom
* DOS(E_F): 1.66 states/eV/f.u.
* crystal system: tetragonal
* space group: P4/mmm (123)
* energy relative to the elements: -0.310 eV/atom

***

No. 2
A plane-wave DFT calculation with GGA-PBE was carried out for an optimized crystal structure of Ni2GePt2.

Cell lengths 6.508, 6.508, 3.519 Å; angles 90.00, 90.00, 90.00 degrees
Element x y z (fractional)
Ni1 0.147 0.647 0.500
Ni2 0.647 0.853 0.500
Ni3 0.853 0.353 0.500
Ni4 0.353 0.147 0.500
Ge1 0.000 0.000 0.000
Ge2 0.500 0.500 0.000
Pt1 0.351 0.851 0.000
Pt2 0.851 0.649 0.000
Pt3 0.649 0.149 0.000
Pt4 0.149 0.351 0.000

Calculated values
* energy: -5.665 eV/atom
* ΔE to the lowest computed polymorph: 0.068 eV per atom
* DOS(E_F): 5.31 states/eV/f.u.
* crystal system: tetragonal
* space group: P4/mbm (127)
* energy relative to the elements: -0.012 eV/atom

***

No. 3
A plane-wave DFT calculation with GGA-PBE was carried out for an optimized crystal structure of Ni7Ge2Pt2.

Cell lengths 5.955, 4.444, 5.955 Å; angles 109.88, 94.14, 70.12 degrees
Element x y z (fractional)
Ni1 0.075 0.164 0.417
Ni2 0.417 0.836 0.075
Ni3 0.925 0.836 0.583
Ni4 0.583 0.164 0.925
Ni5 0.000 0.000 0.000
Ni6 0.412 0.815 0.588
Ni7 0.588 0.185 0.412
Ge1 0.737 0.545 0.263
Ge2 0.263 0.455 0.737
Pt1 0.804 0.500 0.804
Pt2 0.196 0.500 0.196

Calculated values
* energy: -5.748 eV/atom
* DOS(E_F): 13.78 states/eV/f.u.
* crystal system: monoclinic
* space group: C2/m (12)
* energy relative to the elements: -0.132 eV/atom

***

No. 4
A plane-wave DFT calculation with GGA-PBE was carried out for an optimized crystal structure of Ni3GePt3.

Cell lengths 6.260, 6.260, 6.260 Å; angles 66.58, 66.58, 66.58 degrees
Element x y z (fractional)
Ni1 0.703 0.551 0.976
Ni2 0.976 0.703 0.551
Ni3 0.551 0.976 0.703
Ni4 0.449 0.024 0.297
Ni5 0.024 0.297 0.449
Ni6 0.297 0.449 0.024
Ge1 0.392 0.392 0.392
Ge2 0.608 0.608 0.608
Pt1 0.718 0.171 0.860
Pt2 0.171 0.860 0.718
Pt3 0.860 0.718 0.171
Pt4 0.140 0.282 0.829
Pt5 0.829 0.140 0.282
Pt6 0.282 0.829 0.140

Calculated values
* energy: -5.786 eV/atom
* DOS(E_F): 9.81 states/eV/f.u.
* crystal system: trigonal
* space group: R-3 (148)
* energy relative to the elements: -0.060 eV/atom

***

No. 5
A plane-wave DFT calculation with GGA-PBE was carried out for an optimized crystal structure of Ni8GePt3.

Cell lengths 2.682, 9.220, 10.341 Å; angles 41.29, 112.87, 98.30 degrees
Element x y z (fractional)
Ni1 0.308 0.715 0.800
Ni2 0.479 0.963 0.830
Ni3 0.093 0.182 0.834
Ni4 0.187 0.382 0.496
Ni5 0.815 0.605 0.508
Ni6 0.918 0.811 0.174
Ni7 0.657 0.316 0.163
Ni8 0.548 0.029 0.189
Ge1 0.418 0.850 0.496
Pt1 0.750 0.410 0.863
Pt2 0.571 0.118 0.506
Pt3 0.254 0.589 0.139

Calculated values
* energy: -5.809 eV/atom
* DOS(E_F): 19.92 states/eV/f.u.
* crystal system: triclinic
* space group: P1 (1)
* energy relative to the elements: -0.059 eV/atom

***

No. 6
A plane-wave DFT calculation with GGA-PBE was carried out for an optimized crystal structure of Ni2GePt.

Cell lengths 4.195, 4.195, 4.197 Å; angles 60.02, 60.02, 60.00 degrees
Element x y z (fractional)
Ni1 0.000 0.000 0.999
Ni2 0.250 0.250 0.250
Ge1 0.750 0.750 0.750
Pt1 0.500 0.500 0.501

Calculated values
* energy: -5.745 eV/atom
* DOS(E_F): 3.00 states/eV/f.u.
* crystal system: cubic
* space group: F-43m (216)
* energy relative to the elements: -0.190 eV/atom